Material: Zn3CuAg3
Method: DFT, GGA-PBE
State: relaxed

**Energy relative to the elements**: 109 meV per atom
**Raw total energy**: -2.24 eV/atom

```
Zn3CuAg3
1.0
-0.744 -1.933 6.426
-1.924 -3.924 -5.146
6.352 -1.227 -0.437
Ag Cu Zn
6 2 6
Direct
0.214 0.786 0.000
0.340 0.340 0.622
0.786 0.214 0.000
0.844 0.156 0.500
0.660 0.660 0.378
0.156 0.844 0.500
0.045 0.045 0.216
0.955 0.955 0.784
0.820 0.498 0.694
0.684 0.684 0.984
0.498 0.820 0.694
0.316 0.316 0.016
0.180 0.502 0.306
0.502 0.180 0.306
```


Material: ZnCuAg2
Method: DFT, GGA-PBE
State: relaxed

**Energy relative to the elements**: 39 meV per atom
**Raw total energy**: -2.73 eV/atom

```
ZnCuAg2
1.0
-1.056 -4.647 0.447
1.492 -4.473 -0.826
2.214 -1.044 4.288
Ag Cu Zn
2 1 1
Direct
0.999 0.999 0.002
0.501 0.501 0.498
0.250 0.250 0.250
0.750 0.750 0.750
```